Compound: Ba2ZnGa
Source: Alexandria via LeMat-Bulk
Functional: PBE-GGA
Structure: optimized geometry

The calculation puts the total energy at -29.15 eV per cell. The volume is 44.4 Å³/atom.

It has space group I-42d (No. 122), with a = 5.886 Å, b = 5.886 Å, c = 20.499 Å, α = 90.00°, β = 90.00° and γ = 90.00°. Symmetry generates all atoms from Ba at (0.247, 0.250, 0.125), Zn at (0.000, 0.000, 0.000) and Ga at (0.000, 0.000, 0.500).

***

Compound: Ac8Tl2Au
Source: Alexandria via LeMat-Bulk
Functional: PBE-GGA
Structure: optimized geometry

The calculation puts the total energy at -86.93 eV per cell. The volume is 39.0 Å³/atom.

It has space group C2/m (No. 12), with a = 20.684 Å, b = 5.620 Å, c = 7.548 Å, α = 90.00°, β = 102.33° and γ = 90.00°. Symmetry generates all atoms from Ac at (0.017, 0.000, 0.273), Ac at (0.091, 0.500, 0.960), Ac at (0.152, 0.500, 0.483), Ac at (0.209, 0.000, 0.818), Tl at (0.186, 0.000, 0.256) and Au at (0.000, 0.500, 0.500).

***

Compound: LiPrHo2
Source: Alexandria via LeMat-Bulk
Functional: PBE-GGA
Structure: optimized geometry

The calculation puts the total energy at -15.10 eV per cell. The volume is 30.0 Å³/atom. The calculation puts the energy above the most stable polymorph in this dataset at 106.3 meV per atom.

It has space group P4/mmm (No. 123), with a = 5.688 Å, b = 5.688 Å, c = 3.707 Å, α = 90.00°, β = 90.00° and γ = 90.00°. Symmetry generates all atoms from Li at (0.000, 0.000, 0.000), Pr at (0.500, 0.500, 0.000) and Ho at (0.000, 0.500, 0.500).

***

Compound: BeTc2As
Source: Alexandria via LeMat-Bulk
Functional: PBE-GGA
Structure: optimized geometry

The calculation puts the total energy at -28.08 eV per cell. The volume is 13.7 Å³/atom. The calculation puts the energy above the most stable polymorph in this dataset at 422.1 meV per atom.

It has space group Pmmm (No. 47), with a = 3.019 Å, b = 3.964 Å, c = 4.588 Å, α = 90.00°, β = 90.00° and γ = 90.00°. Symmetry generates all atoms from Be at (0.000, 0.000, 0.000), Tc at (0.000, 0.500, 0.500), Tc at (0.500, 0.500, 0.000) and As at (0.500, 0.000, 0.500).

***

Compound: BAs2AuBr
Source: Alexandria via LeMat-Bulk
Functional: PBE-GGA
Structure: optimized geometry

The calculation puts the total energy at -16.47 eV per cell. The volume is 18.5 Å³/atom. The calculation puts the energy above the most stable polymorph in this dataset at 0.0 meV per atom.

It has space group P4/mmm (No. 123), with a = 4.535 Å, b = 4.535 Å, c = 4.494 Å, α = 90.00°, β = 90.00° and γ = 90.00°. Symmetry generates all atoms from B at (0.000, 0.000, 0.000), As at (0.000, 0.500, 0.000), Au at (0.500, 0.500, 0.500) and Br at (0.000, 0.000, 0.500).

***

Compound: Sn2GeSe2
Source: Alexandria via LeMat-Bulk
Functional: PBE-GGA
Structure: optimized geometry

The calculation puts the total energy at -39.67 eV per cell. The volume is 26.2 Å³/atom. The calculation puts the energy above the most stable polymorph in this dataset at 0.0 meV per atom.

It has space group P4/mbm (No. 127), with a = 7.760 Å, b = 7.760 Å, c = 4.344 Å, α = 90.00°, β = 90.00° and γ = 90.00°. Symmetry generates all atoms from Sn at (0.164, 0.336, 0.000), Ge at (0.000, 0.000, 0.500) and Se at (0.170, 0.670, 0.500).